(i)
# HfCdI2, relaxed, DFT PBE-GGA
# * total magnetization: 0.245 μB/atom
data_HfCdI2
_chemical_formula_sum 'Hf4 Cd4 I8'
_space_group_name_H-M_alt 'I -4 2 d'
_space_group_IT_number 122
_space_group_name_Hall 'I -4 2bw'
_cell_length_a 10.2379
_cell_length_b 10.2379
_cell_length_c 6.0026
_cell_angle_alpha 90.00
_cell_angle_beta 90.00
_cell_angle_gamma 90.00
loop_
_atom_site_label
_atom_site_type_symbol
_atom_site_fract_x
_atom_site_fract_y
_atom_site_fract_z
Hf1 Hf 0.0000 0.0000 0.0000
Cd1 Cd 0.0000 0.0000 0.5000
I1 I 0.1046 0.7500 0.1250

---

(ii)
# HfCdI2, relaxed, DFT PBE-GGA
# * total magnetization: 0.233 μB/atom
data_HfCdI2
_chemical_formula_sum 'Hf4 Cd4 I8'
_space_group_name_H-M_alt 'F m -3 m'
_space_group_IT_number 225
_space_group_name_Hall '-F 4 2 3'
_cell_length_a 7.4696
_cell_length_b 7.4696
_cell_length_c 7.4696
_cell_angle_alpha 90.00
_cell_angle_beta 90.00
_cell_angle_gamma 90.00
loop_
_atom_site_label
_atom_site_type_symbol
_atom_site_fract_x
_atom_site_fract_y
_atom_site_fract_z
Hf1 Hf 0.0000 0.0000 0.0000
Cd1 Cd 0.0000 0.0000 0.5000
I1 I 0.2500 0.2500 0.2500

---

What is the stability order? It is (i), (ii), from most stable to least stable.

---

(i)
# HfCd3I, relaxed, DFT PBE-GGA
# * total magnetization: 0.000 μB/atom
data_HfCd3I
_chemical_formula_sum 'Hf1 Cd3 I1'
_space_group_name_H-M_alt 'P m -3 m'
_space_group_IT_number 221
_space_group_name_Hall '-P 4 2 3'
_cell_length_a 5.7651
_cell_length_b 5.7651
_cell_length_c 5.7651
_cell_angle_alpha 90.00
_cell_angle_beta 90.00
_cell_angle_gamma 90.00
loop_
_atom_site_label
_atom_site_type_symbol
_atom_site_fract_x
_atom_site_fract_y
_atom_site_fract_z
Hf1 Hf 0.0000 0.0000 0.0000
Cd1 Cd 0.0000 0.0000 0.5000
I1 I 0.5000 0.5000 0.5000

---

(ii)
# HfCd3I, relaxed, DFT PBE-GGA
# * total magnetization: 0.472 μB/atom
data_HfCd3I
_chemical_formula_sum 'Hf1 Cd3 I1'
_space_group_name_H-M_alt 'P m -3 m'
_space_group_IT_number 221
_space_group_name_Hall '-P 4 2 3'
_cell_length_a 5.6448
_cell_length_b 5.6448
_cell_length_c 5.6448
_cell_angle_alpha 90.00
_cell_angle_beta 90.00
_cell_angle_gamma 90.00
loop_
_atom_site_label
_atom_site_type_symbol
_atom_site_fract_x
_atom_site_fract_y
_atom_site_fract_z
Hf1 Hf 0.0000 0.0000 0.0000
Cd1 Cd 0.0000 0.5000 0.5000
I1 I 0.5000 0.5000 0.5000

---

What is the stability order? It is (i), (ii), from most stable to least stable.

---

(i)
# HfCdIN2, relaxed, DFT PBE-GGA
# * total magnetization: 0.107 μB/atom
data_HfCdIN2
_chemical_formula_sum 'Hf1 Cd1 I1 N2'
_space_group_name_H-M_alt 'P 4/m m m'
_space_group_IT_number 123
_space_group_name_Hall '-P 4 2'
_cell_length_a 4.2006
_cell_length_b 4.2006
_cell_length_c 6.0719
_cell_angle_alpha 90.00
_cell_angle_beta 90.00
_cell_angle_gamma 90.00
loop_
_atom_site_label
_atom_site_type_symbol
_atom_site_fract_x
_atom_site_fract_y
_atom_site_fract_z
Hf1 Hf 0.0000 0.0000 0.0000
Cd1 Cd 0.5000 0.5000 0.5000
I1 I 0.0000 0.0000 0.5000
N1 N 0.0000 0.5000 0.0000

---

(ii)
# HfCdIN2, relaxed, DFT PBE-GGA
# * total magnetization: 0.000 μB/atom
data_HfCdIN2
_chemical_formula_sum 'Hf1 Cd1 I1 N2'
_space_group_name_H-M_alt 'P 4/m m m'
_space_group_IT_number 123
_space_group_name_Hall '-P 4 2'
_cell_length_a 4.2534
_cell_length_b 4.2534
_cell_length_c 5.4860
_cell_angle_alpha 90.00
_cell_angle_beta 90.00
_cell_angle_gamma 90.00
loop_
_atom_site_label
_atom_site_type_symbol
_atom_site_fract_x
_atom_site_fract_y
_atom_site_fract_z
Hf1 Hf 0.0000 0.0000 0.0000
Cd1 Cd 0.5000 0.5000 0.5000
I1 I 0.5000 0.5000 0.0000
N1 N 0.0000 0.5000 0.5000

---

What is the stability order? It is (i), (ii), from most stable to least stable.

---

(i)
# HfCdI2O, relaxed, DFT PBE-GGA
# * total magnetization: 0.168 μB/atom
data_HfCdI2O
_chemical_formula_sum 'Hf1 Cd1 I2 O1'
_space_group_name_H-M_alt 'P 4/m m m'
_space_group_IT_number 123
_space_group_name_Hall '-P 4 2'
_cell_length_a 5.9088
_cell_length_b 5.9088
_cell_length_c 3.9295
_cell_angle_alpha 90.00
_cell_angle_beta 90.00
_cell_angle_gamma 90.00
loop_
_atom_site_label
_atom_site_type_symbol
_atom_site_fract_x
_atom_site_fract_y
_atom_site_fract_z
Hf1 Hf 0.0000 0.0000 0.0000
Cd1 Cd 0.5000 0.5000 0.5000
I1 I 0.0000 0.5000 0.5000
O1 O 0.5000 0.5000 0.0000

---

(ii)
# HfCdI2O, relaxed, DFT PBE-GGA
# * total magnetization: 0.000 μB/atom
data_HfCdI2O
_chemical_formula_sum 'Hf1 Cd1 I2 O1'
_space_group_name_H-M_alt 'P 4/m m m'
_space_group_IT_number 123
_space_group_name_Hall '-P 4 2'
_cell_length_a 5.9237
_cell_length_b 5.9237
_cell_length_c 3.9912
_cell_angle_alpha 90.00
_cell_angle_beta 90.00
_cell_angle_gamma 90.00
loop_
_atom_site_label
_atom_site_type_symbol
_atom_site_fract_x
_atom_site_fract_y
_atom_site_fract_z
Hf1 Hf 0.0000 0.0000 0.0000
Cd1 Cd 0.5000 0.5000 0.5000
I1 I 0.0000 0.5000 0.0000
O1 O 0.0000 0.0000 0.5000

---

What is the stability order? It is (ii), (i), from most stable to least stable.

---

(i)
# HfCdIO2, relaxed, DFT PBE-GGA
# * total magnetization: 0.140 μB/atom
data_HfCdIO2
_chemical_formula_sum 'Hf1 Cd1 I1 O2'
_space_group_name_H-M_alt 'P 4/m m m'
_space_group_IT_number 123
_space_group_name_Hall '-P 4 2'
_cell_length_a 4.2674
_cell_length_b 4.2674
_cell_length_c 5.4962
_cell_angle_alpha 90.00
_cell_angle_beta 90.00
_cell_angle_gamma 90.00
loop_
_atom_site_label
_atom_site_type_symbol
_atom_site_fract_x
_atom_site_fract_y
_atom_site_fract_z
Hf1 Hf 0.0000 0.0000 0.0000
Cd1 Cd 0.5000 0.5000 0.5000
I1 I 0.5000 0.5000 0.0000
O1 O 0.0000 0.5000 0.5000

---

(ii)
# HfCdIO2, relaxed, DFT PBE-GGA
# * total magnetization: 0.000 μB/atom
data_HfCdIO2
_chemical_formula_sum 'Hf1 Cd1 I1 O2'
_space_group_name_H-M_alt 'P 4/m m m'
_space_group_IT_number 123
_space_group_name_Hall '-P 4 2'
_cell_length_a 4.1398
_cell_length_b 4.1398
_cell_length_c 6.0753
_cell_angle_alpha 90.00
_cell_angle_beta 90.00
_cell_angle_gamma 90.00
loop_
_atom_site_label
_atom_site_type_symbol
_atom_site_fract_x
_atom_site_fract_y
_atom_site_fract_z
Hf1 Hf 0.0000 0.0000 0.0000
Cd1 Cd 0.5000 0.5000 0.5000
I1 I 0.0000 0.0000 0.5000
O1 O 0.0000 0.5000 0.0000

---

What is the stability order? It is (ii), (i), from most stable to least stable.

---

(i)
# HfCd2In2, relaxed, DFT PBE-GGA
# * total magnetization: 0.000 μB/atom
data_HfCd2In2
_chemical_formula_sum 'Hf2 Cd4 In4'
_space_group_name_H-M_alt 'P 4/m b m'
_space_group_IT_number 127
_space_group_name_Hall '-P 4 2ab'
_cell_length_a 8.2719
_cell_length_b 8.2719
_cell_length_c 3.4011
_cell_angle_alpha 90.00
_cell_angle_beta 90.00
_cell_angle_gamma 90.00
loop_
_atom_site_label
_atom_site_type_symbol
_atom_site_fract_x
_atom_site_fract_y
_atom_site_fract_z
Hf1 Hf 0.0000 0.0000 0.0000
Cd1 Cd 0.1611 0.3388 0.5000
In1 In 0.1403 0.6403 0.0000

---

(ii)
# HfCd2In2, relaxed, DFT PBE-GGA
# * total magnetization: 0.000 μB/atom
data_HfCd2In2
_chemical_formula_sum 'Hf2 Cd4 In4'
_space_group_name_H-M_alt 'P 4/m b m'
_space_group_IT_number 127
_space_group_name_Hall '-P 4 2ab'
_cell_length_a 8.2067
_cell_length_b 8.2067
_cell_length_c 3.4383
_cell_angle_alpha 90.00
_cell_angle_beta 90.00
_cell_angle_gamma 90.00
loop_
_atom_site_label
_atom_site_type_symbol
_atom_site_fract_x
_atom_site_fract_y
_atom_site_fract_z
Hf1 Hf 0.0000 0.0000 0.0000
Cd1 Cd 0.1247 0.3753 0.0000
In1 In 0.1782 0.6782 0.5000

---

What is the stability order? It is (ii), (i), from most stable to least stable.

---

(i)
# Hf2CdIn, relaxed, DFT PBE-GGA
# * total magnetization: 0.000 μB/atom
data_Hf2CdIn
_chemical_formula_sum 'Hf2 Cd1 In1'
_space_group_name_H-M_alt 'P 4/m m m'
_space_group_IT_number 123
_space_group_name_Hall '-P 4 2'
_cell_length_a 4.3962
_cell_length_b 4.3962
_cell_length_c 4.4332
_cell_angle_alpha 90.00
_cell_angle_beta 90.00
_cell_angle_gamma 90.00
loop_
_atom_site_label
_atom_site_type_symbol
_atom_site_fract_x
_atom_site_fract_y
_atom_site_fract_z
Hf1 Hf 0.0000 0.5000 0.0000
Cd1 Cd 0.0000 0.0000 0.5000
In1 In 0.5000 0.5000 0.5000

---

(ii)
# Hf2CdIn, relaxed, DFT PBE-GGA
# * total magnetization: 0.000 μB/atom
data_Hf2CdIn
_chemical_formula_sum 'Hf6 Cd3 In3'
_space_group_name_H-M_alt 'R -3 m'
_space_group_IT_number 166
_space_group_name_Hall '-R 3 2"'
_cell_length_a 3.1458
_cell_length_b 3.1458
_cell_length_c 31.0852
_cell_angle_alpha 90.00
_cell_angle_beta 90.00
_cell_angle_gamma 120.00
loop_
_atom_site_label
_atom_site_type_symbol
_atom_site_fract_x
_atom_site_fract_y
_atom_site_fract_z
Hf1 Hf 0.0000 0.0000 0.2502
Cd1 Cd 0.0000 0.0000 0.0000
In1 In 0.0000 0.0000 0.5000

---

What is the stability order? It is (i), (ii), from most stable to least stable.

---

(i)
# Hf2CdIn, relaxed, DFT PBE-GGA
# * total magnetization: 0.000 μB/atom
data_Hf2CdIn
_chemical_formula_sum 'Hf2 Cd1 In1'
_space_group_name_H-M_alt 'P 4/m m m'
_space_group_IT_number 123
_space_group_name_Hall '-P 4 2'
_cell_length_a 3.1126
_cell_length_b 3.1126
_cell_length_c 8.8286
_cell_angle_alpha 90.00
_cell_angle_beta 90.00
_cell_angle_gamma 90.00
loop_
_atom_site_label
_atom_site_type_symbol
_atom_site_fract_x
_atom_site_fract_y
_atom_site_fract_z
Hf1 Hf 0.0000 0.0000 0.2492
Cd1 Cd 0.5000 0.5000 0.0000
In1 In 0.5000 0.5000 0.5000

---

(ii)
# Hf2CdIn, relaxed, DFT PBE-GGA
# * total magnetization: 0.305 μB/atom
data_Hf2CdIn
_chemical_formula_sum 'Hf6 Cd3 In3'
_space_group_name_H-M_alt 'R 3 m'
_space_group_IT_number 160
_space_group_name_Hall 'R 3 -2"'
_cell_length_a 4.8200
_cell_length_b 4.8200
_cell_length_c 15.1396
_cell_angle_alpha 90.00
_cell_angle_beta 90.00
_cell_angle_gamma 120.00
loop_
_atom_site_label
_atom_site_type_symbol
_atom_site_fract_x
_atom_site_fract_y
_atom_site_fract_z
Hf1 Hf 0.0000 0.0000 0.0000
Hf2 Hf 0.0000 0.0000 0.2109
Cd1 Cd 0.0000 0.0000 0.4198
In1 In 0.0000 0.0000 0.6111

---

(iii)
# Hf2CdIn, relaxed, DFT PBE-GGA
# * total magnetization: 0.000 μB/atom
data_Hf2CdIn
_chemical_formula_sum 'Hf8 Cd4 In4'
_space_group_name_H-M_alt 'F m -3 m'
_space_group_IT_number 225
_space_group_name_Hall '-F 4 2 3'
_cell_length_a 7.0075
_cell_length_b 7.0075
_cell_length_c 7.0075
_cell_angle_alpha 90.00
_cell_angle_beta 90.00
_cell_angle_gamma 90.00
loop_
_atom_site_label
_atom_site_type_symbol
_atom_site_fract_x
_atom_site_fract_y
_atom_site_fract_z
Hf1 Hf 0.2500 0.2500 0.2500
Cd1 Cd 0.0000 0.0000 0.0000
In1 In 0.0000 0.0000 0.5000

---

(iv)
# Hf2CdIn, relaxed, DFT PBE-GGA
# * total magnetization: 0.000 μB/atom
data_Hf2CdIn
_chemical_formula_sum 'Hf8 Cd4 In4'
_space_group_name_H-M_alt 'I -4 2 d'
_space_group_IT_number 122
_space_group_name_Hall 'I -4 2bw'
_cell_length_a 7.9686
_cell_length_b 7.9686
_cell_length_c 5.8635
_cell_angle_alpha 90.00
_cell_angle_beta 90.00
_cell_angle_gamma 90.00
loop_
_atom_site_label
_atom_site_type_symbol
_atom_site_fract_x
_atom_site_fract_y
_atom_site_fract_z
Hf1 Hf 0.2468 0.2500 0.1250
Cd1 Cd 0.0000 0.0000 0.0000
In1 In 0.0000 0.0000 0.5000

---

What is the stability order? It is (i), (iii), (iv), (ii), from most stable to least stable.